*a*
The following is a SCAN calculation of a PBEsol-optimized structure of Zn2SnAu2, from Alexandria via LeMat-Bulk.

The structure in POSCAR format:
```
Zn2SnAu2
1.0
7.760 0.000 0.000
0.000 7.760 0.000
0.000 0.000 2.912
Zn Sn Au
4 2 4
direct
0.155 0.345 0.000 Zn
0.345 0.845 0.000 Zn
0.655 0.155 0.000 Zn
0.845 0.655 0.000 Zn
0.000 0.000 0.500 Sn
0.500 0.500 0.500 Sn
0.141 0.641 0.500 Au
0.359 0.141 0.500 Au
0.641 0.859 0.500 Au
0.859 0.359 0.500 Au
```

magnetic moment = 0.0 Bohr magnetons per cell

---

*b*
The following is a SCAN calculation of a PBEsol-optimized structure of Zn2SnAu2, from Alexandria via LeMat-Bulk.

The structure in POSCAR format:
```
Zn2SnAu2
1.0
-1.874 1.874 6.473
1.874 -1.874 6.473
1.874 1.874 -6.473
Zn Sn Au
2 1 2
direct
0.250 0.750 0.500 Zn
0.750 0.250 0.500 Zn
0.000 0.000 0.000 Sn
0.392 0.392 0.000 Au
0.608 0.608 0.000 Au
```

magnetic moment = 0.0 Bohr magnetons per cell

---

Sorted by energy, starting with the most stable: *b*, *a*.

---

*a*
The following is a SCAN calculation of a PBEsol-optimized structure of SrW2Au, from Alexandria via LeMat-Bulk.

The structure in POSCAR format:
```
SrW2Au
1.0
1.944 -1.960 0.000
1.944 1.960 0.000
0.000 0.000 9.757
Sr W Au
1 2 1
direct
0.000 0.000 0.000 Sr
0.500 0.500 0.281 W
0.500 0.500 0.719 W
0.000 0.000 0.500 Au
```

magnetic moment = 0.0 Bohr magnetons per cell

---

*b*
The following is a SCAN calculation of a PBEsol-optimized structure of SrW2Au, from Alexandria via LeMat-Bulk.

The structure in POSCAR format:
```
SrW2Au
1.0
2.813 -5.288 0.000
2.813 5.288 0.000
-1.013 0.000 2.538
Sr W Au
1 2 1
direct
0.000 0.000 0.000 Sr
0.000 0.500 0.500 W
0.500 0.000 0.500 W
0.500 0.500 0.000 Au
```

magnetic moment = 0.0 Bohr magnetons per cell

---

*c*
The following is a SCAN calculation of a PBEsol-optimized structure of SrW2Au, from Alexandria via LeMat-Bulk.

The structure in POSCAR format:
```
SrW2Au
1.0
-1.383 2.509 5.613
1.383 -2.509 5.613
1.383 2.509 -5.613
Sr W Au
1 2 1
direct
0.000 0.000 0.000 Sr
0.279 0.779 0.500 W
0.721 0.221 0.500 W
0.500 0.500 0.000 Au
```

magnetic moment = 0.0 Bohr magnetons per cell

---

Sorted by energy, starting with the most stable: *c*, *b*, *a*.

---

*a*
The following is a SCAN calculation of a PBEsol-optimized structure of SrYAu2, from Alexandria via LeMat-Bulk.

The structure in POSCAR format:
```
SrYAu2
1.0
4.728 0.000 0.000
0.000 1.932 5.512
0.000 -1.932 5.512
Sr Y Au
1 1 2
direct
0.000 0.000 0.000 Sr
0.500 0.275 0.275 Y
0.000 0.727 0.727 Au
0.500 0.562 0.562 Au
```

magnetic moment = 0.0 Bohr magnetons per cell

---

*b*
The following is a SCAN calculation of a PBEsol-optimized structure of SrYAu2, from Alexandria via LeMat-Bulk.

The structure in POSCAR format:
```
SrYAu2
1.0
3.619 0.000 0.000
0.000 3.619 0.000
0.000 0.000 7.444
Sr Y Au
1 1 2
direct
0.000 0.000 0.000 Sr
0.000 0.000 0.500 Y
0.500 0.500 0.289 Au
0.500 0.500 0.711 Au
```

magnetic moment = 0.0 Bohr magnetons per cell

---

*c*
The following is a SCAN calculation of a PBEsol-optimized structure of SrYAu2, from Alexandria via LeMat-Bulk.

The structure in POSCAR format:
```
SrYAu2
1.0
0.000 3.634 3.634
3.634 0.000 3.634
3.634 3.634 0.000
Sr Y Au
1 1 2
direct
0.000 0.000 0.000 Sr
0.500 0.500 0.500 Y
0.250 0.250 0.250 Au
0.750 0.750 0.750 Au
```

magnetic moment = 0.0 Bohr magnetons per cell

---

Sorted by energy, starting with the most stable: *b*, *a*, *c*.